[1]
Compound: NiBr2O
Source: Alexandria via LeMat-Bulk
Functional: SCAN
Structure: single point on PBEsol structure

Computed properties:
For the total magnetic moment, the calculation gives 0.32 μB per formula unit. The calculation puts the electronic total energy at -14.49 eV per atom. For the formation energy (no corrections), the calculation gives 3.4 eV/f.u.

Cell: 4.3556 4.3556 4.3556 Å, 60.00 60.00 60.00°
Fractional coordinates of all 4 atoms:
Ni 0.5000 0.5000 0.5000
O 0.0000 0.0000 0.0000
Br 0.2500 0.2500 0.2500
Br 0.7500 0.7500 0.7500

---

[2]
Compound: Li3Au
Source: Alexandria via LeMat-Bulk
Functional: SCAN
Structure: single point on PBEsol structure

Computed properties:
For the total magnetic moment, the calculation gives 0.10 μB per formula unit. The formation energy comes out at -0.408 eV/atom. The calculation puts the electronic total energy at -19.49 eV per atom.

Cell: 2.8006 3.9658 5.6429 Å, 90.00 90.36 90.00°
Fractional coordinates of all 4 atoms:
Au 0.0000 0.0000 0.0000
Li 0.4989 0.5000 0.7779
Li 0.0000 0.0000 0.5000
Li 0.5011 0.5000 0.2221

---

[3]
Compound: Mg3RhF
Source: Alexandria via LeMat-Bulk
Functional: SCAN
Structure: single point on PBEsol structure

Computed properties:
For the total magnetic moment, the calculation gives 0.00 μB per formula unit. The calculation puts the electronic total energy at -11.56 eV per atom. For the formation energy (no corrections), the calculation gives -5.5 eV/f.u.

Cell: 4.2076 4.2076 4.2076 Å, 90.00 90.00 90.00°
Fractional coordinates of all 5 atoms:
Mg 0.0000 0.5000 0.0000
Mg 0.0000 0.0000 0.5000
Mg 0.5000 0.0000 0.0000
Rh 0.5000 0.5000 0.5000
F 0.0000 0.0000 0.0000